Computed, not measured: a relaxed TaCrMo2 crystal at the PBEsol level of DFT.

Unit cell a=3.104 b=4.359 c=4.391 alpha=90.00 beta=90.00 gamma=90.00
Positions (direct):
1 Cr 0.000 0.500 0.500
2 Mo 0.000 0.000 0.000
3 Mo 0.500 0.500 0.000
4 Ta 0.500 0.000 0.500

* excess energy over the best structure of this formula in the dataset: 18.3 meV per atom
* symmetry: Pmmm

Computed, not measured: a relaxed TaCr4Mo crystal at the PBEsol level of DFT.

Unit cell a=4.801 b=4.801 c=4.801 alpha=60.00 beta=60.00 gamma=60.00
Positions (direct):
1 Cr 0.375 0.375 0.375
2 Cr 0.375 0.375 0.875
3 Cr 0.875 0.375 0.375
4 Cr 0.375 0.875 0.375
5 Mo 0.750 0.750 0.750
6 Ta 0.000 0.000 0.000

* symmetry: F-43m

Computed, not measured: a relaxed TaCr2Mo2 crystal at the PBEsol level of DFT.

Unit cell a=4.012 b=4.012 c=5.549 alpha=111.19 beta=111.19 gamma=90.00
Positions (direct):
1 Cr 0.389 0.389 0.778
2 Cr 0.611 0.611 0.222
3 Mo 0.250 0.750 0.500
4 Mo 0.750 0.250 0.500
5 Ta 0.000 0.000 0.000

* symmetry: I4/mmm

Computed, not measured: a relaxed TaCrMo2 crystal at the PBEsol level of DFT.

Unit cell a=2.710 b=5.107 c=5.124 alpha=116.83 beta=100.13 gamma=100.25
Positions (direct):
1 Cr 0.000 0.500 0.000
2 Mo 0.000 0.000 0.500
3 Mo 0.500 0.500 0.500
4 Ta 0.500 0.000 0.000

* excess energy over the best structure of this formula in the dataset: 66.6 meV per atom
* symmetry: C2/m

Computed, not measured: a relaxed TaCrMo2 crystal at the PBEsol level of DFT.

Unit cell a=4.377 b=4.377 c=4.377 alpha=60.00 beta=60.00 gamma=60.00
Positions (direct):
1 Cr 0.500 0.500 0.500
2 Mo 0.000 0.000 0.000
3 Mo 0.750 0.750 0.750
4 Ta 0.250 0.250 0.250

* excess energy over the best structure of this formula in the dataset: 10.5 meV per atom
* symmetry: F-43m

Computed, not measured: a relaxed TaCrMo2 crystal at the PBEsol level of DFT.

Unit cell a=3.094 b=3.094 c=6.197 alpha=90.00 beta=90.00 gamma=90.00
Positions (direct):
1 Cr 0.500 0.500 0.756
2 Mo 0.000 0.000 0.993
3 Mo 0.500 0.500 0.243
4 Ta 0.000 0.000 0.509

* excess energy over the best structure of this formula in the dataset: 0.0 meV per atom
* symmetry: P4mm

Computed, not measured: a relaxed TaCrMo2 crystal at the PBEsol level of DFT.

Unit cell a=3.096 b=3.096 c=6.198 alpha=90.00 beta=90.00 gamma=90.00
Positions (direct):
1 Cr 0.500 0.500 0.500
2 Mo 0.000 0.000 0.736
3 Mo 0.000 0.000 0.264
4 Ta 0.500 0.500 0.000

* excess energy over the best structure of this formula in the dataset: 30.3 meV per atom
* symmetry: P4/mmm

Computed, not measured: a relaxed CrTcMo2 crystal at the PBEsol level of DFT.

Unit cell a=4.295 b=4.295 c=4.295 alpha=60.00 beta=60.00 gamma=60.00
Positions (direct):
1 Cr 0.500 0.500 0.500
2 Mo 0.000 0.000 0.000
3 Mo 0.750 0.750 0.750
4 Tc 0.250 0.250 0.250

* excess energy over the best structure of this formula in the dataset: 33.9 meV per atom
* symmetry: F-43m

Computed, not measured: a relaxed CrTcMo2 crystal at the PBEsol level of DFT.

Unit cell a=4.296 b=4.296 c=4.296 alpha=60.00 beta=60.00 gamma=60.00
Positions (direct):
1 Cr 0.000 0.000 0.000
2 Mo 0.250 0.250 0.250
3 Mo 0.750 0.750 0.750
4 Tc 0.500 0.500 0.500

* excess energy over the best structure of this formula in the dataset: 21.1 meV per atom
* symmetry: Fm-3m

Computed, not measured: a relaxed CrTc2Mo crystal at the PBEsol level of DFT.

Unit cell a=2.997 b=2.997 c=6.095 alpha=90.00 beta=90.00 gamma=90.00
Positions (direct):
1 Cr 0.500 0.500 0.000
2 Mo 0.500 0.500 0.500
3 Tc 0.000 0.000 0.768
4 Tc 0.000 0.000 0.232

* symmetry: P4/mmm

Computed, not measured: a relaxed CrTcMo2 crystal at the PBEsol level of DFT.

Unit cell a=3.037 b=4.307 c=5.034 alpha=115.33 beta=107.56 gamma=90.00
Positions (direct):
1 Cr 0.255 0.755 0.511
2 Mo 0.996 0.996 0.991
3 Mo 0.747 0.247 0.493
4 Tc 0.502 0.502 0.005

* excess energy over the best structure of this formula in the dataset: 23.7 meV per atom
* symmetry: Imm2

Computed, not measured: a relaxed CrTcMo crystal at the PBEsol level of DFT.

Unit cell a=2.999 b=2.999 c=4.994 alpha=107.48 beta=107.48 gamma=90.00
Positions (direct):
1 Cr 0.001 0.001 0.003
2 Mo 0.661 0.661 0.322
3 Tc 0.338 0.338 0.675

* symmetry: I4mm

Computed values of total DFT energy (no corrections) (unit: eV per formula unit) for the preceding records, in sequence: -46.42 -65.28 -53.56 -46.23 -46.45 -46.49 -46.37 -44.66 -44.71 -44.13 -44.70 -33.01.